The following is a PBEsol calculation of crystalline MgPb2 at its relaxed geometry, from Alexandria.

Values from the calculation:
* DFT formation energy: -0.0272 eV/atom
* energy relative to the lowest polymorph listed for this composition: 21 meV/atom

Cell lengths 4.5164, 4.9267, 7.6555 Å; angles 90.00, 106.86, 90.00 degrees
With the nearest neighbours (Å) after each atom.
Space group P2_1/m (No. 11)
Inequivalent atoms, fractional coordinates:
Mg (0.0837, 0.2500, 0.1684) x2  10 Pb 3.26-3.48, 2 Mg 3.49
Pb (0.2514, 0.7500, 0.5038) x2  4 Mg 3.28-3.48, 8 Pb 3.34-3.51
Pb (0.4206, 0.2500, 0.8451) x2  6 Mg 3.26-3.35, 6 Pb 3.35-3.51